No. 1
Entry from the Alexandria database: La2TmAlO6 after structural relaxation (GGA-PBE).

It has space group P2_1/c (No. 14), with a = 5.6575 Å, b = 5.7345 Å, c = 9.8036 Å, α = 90.00°, β = 124.59° and γ = 90.00°. The distinct sites, in fractional coordinates, are La at (0.2377, 0.0383, 0.2490), Tm at (0.5000, 0.0000, 0.0000), Al at (0.0000, 0.0000, 0.5000), O at (0.1416, 0.2235, 0.9490), O at (0.2239, 0.6954, 0.9514) and O at (0.3263, 0.0266, 0.7337).

Its total magnetization is 0.00 μB per cell. For the mass density, the calculation gives 7.23 g/cm3. Its raw formation energy is -3.379 eV/atom.

No. 2
Entry from the Alexandria database: Sb2Au2I after structural relaxation (GGA-PBE).

It has space group I4/mmm (No. 139), with a = 5.1765 Å, b = 5.1765 Å, c = 10.4540 Å, α = 90.00°, β = 90.00° and γ = 90.00°. The distinct sites, in fractional coordinates, are Sb at (0.0000, 0.5000, 0.2500), Au at (0.0000, 0.0000, 0.1465) and I at (0.0000, 0.0000, 0.5000).

Its total magnetization is 0.00 μB per cell. For the mass density, the calculation gives 9.06 g/cm3. Its raw formation energy is 0.138 eV/atom.

No. 3
Entry from the Alexandria database: HgSbSe2 after structural relaxation (GGA-PBE).

It has space group R-3m (No. 166, hexagonal axes), with a = 3.8743 Å, b = 3.8743 Å, c = 28.6595 Å, α = 90.00°, β = 90.00° and γ = 120.00°. The distinct sites, in fractional coordinates, are Hg at (0.0000, 0.0000, 0.0000), Sb at (0.0000, 0.0000, 0.5000) and Se at (0.0000, 0.0000, 0.2255).

Its total magnetization is 0.00 μB per cell. For the mass density, the calculation gives 6.42 g/cm3. Its raw formation energy is -0.103 eV/atom.

No. 4
Entry from the Alexandria database: TaInAu2 after structural relaxation (GGA-PBE).

It has space group I-4m2 (No. 119), with a = 4.2336 Å, b = 4.2336 Å, c = 8.4440 Å, α = 90.00°, β = 90.00° and γ = 90.00°. The distinct sites, in fractional coordinates, are Ta at (0.0000, 0.0000, 0.0000), In at (0.0000, 0.5000, 0.2500), Au at (0.0000, 0.0000, 0.5000) and Au at (0.0000, 0.5000, 0.7500).

Its formation enthalpy at 0 K is 237 meV per atom. Its total magnetization is 1.38 μB per cell. For the mass density, the calculation gives 15.13 g/cm3.

No. 5
Entry from the Alexandria database: ReSb3 after structural relaxation (GGA-PBE).

It has space group P4/mmm (No. 123), with a = 5.1080 Å, b = 5.1080 Å, c = 3.4101 Å, α = 90.00°, β = 90.00° and γ = 90.00°. The distinct sites, in fractional coordinates, are Re at (0.0000, 0.0000, 0.0000), Sb at (0.0000, 0.5000, 0.5000) and Sb at (0.5000, 0.5000, 0.0000).

Its total magnetization is 1.05 μB per cell. For the mass density, the calculation gives 10.29 g/cm3. Its raw formation energy is 0.900 eV/atom.

No. 6
Entry from the Alexandria database: CePm2Er12 after structural relaxation (GGA-PBE).

It has space group P4/nbm (No. 125, origin choice 2), with a = 6.3978 Å, b = 6.3978 Å, c = 24.5998 Å, α = 90.00°, β = 90.00° and γ = 90.00°. The distinct sites, in fractional coordinates, are Ce at (0.2500, 0.7500, 0.0000), Pm at (0.2500, 0.7500, 0.2642), Er at (0.0005, 0.9995, 0.1122), Er at (0.0811, 0.5811, 0.4394), Er at (0.2500, 0.2500, 0.2127) and Er at (0.2500, 0.2500, 0.3386).

Its formation enthalpy at 0 K is 403 meV per atom. Its total magnetization is 0.11 μB per cell. For the mass density, the calculation gives 8.04 g/cm3.

No. 7
Entry from the Alexandria database: LiCu2Sn after structural relaxation (GGA-PBE).

It has space group I-42d (No. 122), with a = 3.8218 Å, b = 3.8218 Å, c = 18.2501 Å, α = 90.00°, β = 90.00° and γ = 90.00°. The distinct sites, in fractional coordinates, are Li at (0.0000, 0.0000, 0.0000), Cu at (0.2458, 0.2500, 0.1250) and Sn at (0.0000, 0.0000, 0.5000).

Its formation enthalpy at 0 K is 156 meV per atom. Its total magnetization is 0.00 μB per cell. For the mass density, the calculation gives 6.30 g/cm3.

No. 8
Entry from the Alexandria database: LaNi3Bi after structural relaxation (GGA-PBE).

It has space group Pm-3m (No. 221), with a = 4.8084 Å, b = 4.8084 Å, c = 4.8084 Å, α = 90.00°, β = 90.00° and γ = 90.00°. The distinct sites, in fractional coordinates, are La at (0.0000, 0.0000, 0.0000), Ni at (0.0000, 0.0000, 0.5000) and Bi at (0.5000, 0.5000, 0.5000).

Its formation enthalpy at 0 K is 924 meV per atom. Its total magnetization is 0.00 μB per cell. For the mass density, the calculation gives 7.83 g/cm3.